Entry 1:
Density functional theory data (PBE-GGA) for crystalline LaPr2PaAs4 at its relaxed geometry.

Computed properties:
- Calculated density: 7.2 g/cm³
- Density of states at the Fermi level: 4.55 states/eV/cell
- Formation energy: -1.400 eV per atom
- Calculated volume: 218.5 Å³ per cell
- Calculated total energy: -53.78 eV per formula unit

Cell lengths 6.0182, 6.0182, 7.3819 Å; angles 114.05, 114.05, 90.01 degrees
Fractional positions:
As (0.2492, 0.2492, 0.4985)
La (0.5000, 0.5000, 0.0000)
As (0.7508, 0.7508, 0.5015)
Pr (0.0000, 0.0000, 0.0000)
Pa (0.7500, 0.2500, 0.5000)
As (0.5120, 0.0120, 0.0241)
Pr (0.2500, 0.7500, 0.5000)
As (0.9880, 0.4880, 0.9759)

***

Entry 2:
Density functional theory data (PBE-GGA) for crystalline La2PrPaAs4 at its relaxed geometry.

Computed properties:
- Calculated density: 7.1 g/cm³
- Density of states at the Fermi level: 5.71 states/eV/cell
- Formation energy: -1.426 eV per atom
- Calculated volume: 221.3 Å³ per cell
- Calculated total energy: -54.13 eV per formula unit

Cell lengths 4.2736, 7.3932, 7.4247 Å; angles 109.35, 90.00, 90.00 degrees
Fractional positions:
La (0.5000, 0.0000, 0.5000)
Pr (0.0000, 0.0000, 0.0000)
Pa (0.5000, 0.5000, 0.0000)
As (0.0000, 0.2644, 0.7661)
As (0.5000, 0.7419, 0.7608)
As (0.5000, 0.2581, 0.2392)
La (0.0000, 0.5000, 0.5000)
As (0.0000, 0.7356, 0.2339)

***

Entry 3:
Density functional theory data (PBE-GGA) for crystalline La2PuPaAs4 at its relaxed geometry.

Computed properties:
- Calculated density: 8.1 g/cm³
- Density of states at the Fermi level: 14.90 states/eV/cell
- Formation energy: -1.310 eV per atom
- Calculated volume: 215.8 Å³ per cell
- Calculated total energy: -62.76 eV per formula unit

Cell lengths 4.2367, 7.3174, 7.3803 Å; angles 109.39, 90.00, 90.00 degrees
Last column: magnetic moment on the atom in μB.
Fractional positions:
As (0.5000, 0.2488, 0.2321)  -0.05
La (0.5000, 0.0000, 0.5000)  0.02
Pa (0.5000, 0.5000, 0.0000)  0.33
As (0.5000, 0.7512, 0.7679)  -0.05
Pu (0.0000, 0.0000, 0.0000)  5.16
As (0.0000, 0.7392, 0.2312)  -0.02
As (0.0000, 0.2608, 0.7688)  -0.02
La (0.0000, 0.5000, 0.5000)  0.01

***

Entry 4:
Density functional theory data (PBE-GGA) for crystalline LaPuPa2As4 at its relaxed geometry.

Computed properties:
- Calculated density: 9.2 g/cm³
- Density of states at the Fermi level: 15.97 states/eV/cell
- Formation energy: -1.158 eV per atom
- Calculated volume: 205.7 Å³ per cell
- Calculated total energy: -66.12 eV per formula unit

Cell lengths 5.9001, 5.9001, 7.2324 Å; angles 114.07, 114.07, 90.00 degrees
Last column: magnetic moment on the atom in μB.
Fractional positions:
Pa (0.0000, 0.0000, 0.0000)  0.35
La (0.5000, 0.5000, 0.0000)  0.01
As (0.4967, 0.9967, 0.9935)  -0.03
As (0.2427, 0.2427, 0.4855)  -0.04
Pa (0.2500, 0.7500, 0.5000)  0.52
As (0.0033, 0.5033, 0.0065)  -0.03
Pu (0.7500, 0.2500, 0.5000)  5.21
As (0.7573, 0.7573, 0.5145)  -0.04

***

Entry 5:
Density functional theory data (PBE-GGA) for crystalline LaPu2PaAs4 at its relaxed geometry.

Computed properties:
- Calculated density: 9.2 g/cm³
- Density of states at the Fermi level: 24.39 states/eV/cell
- Formation energy: -1.155 eV per atom
- Calculated volume: 208.6 Å³ per cell
- Calculated total energy: -70.92 eV per formula unit

Cell lengths 5.9299, 5.9299, 7.2645 Å; angles 114.09, 114.09, 90.00 degrees
Last column: magnetic moment on the atom in μB.
Fractional positions:
Pu (0.2500, 0.7500, 0.5000)  -5.21
Pa (0.7500, 0.2500, 0.5000)  -0.57
As (0.5054, 0.0054, 0.0108)  0.07
La (0.5000, 0.5000, 0.0000)  -0.03
Pu (0.0000, 0.0000, 0.0000)  -5.14
As (0.7555, 0.7555, 0.5111)  0.07
As (0.9946, 0.4946, 0.9892)  0.07
As (0.2445, 0.2445, 0.4889)  0.07

***

Entry 6:
Density functional theory data (PBE-GGA) for crystalline La3Pu2PaAs6 at its relaxed geometry.

Computed properties:
- Calculated density: 8.1 g/cm³
- Density of states at the Fermi level: 28.10 states/eV/cell
- Formation energy: -1.305 eV per atom
- Calculated volume: 325.8 Å³ per cell
- Calculated total energy: -96.50 eV per formula unit

Cell lengths 7.3506, 7.3506, 7.3803 Å; angles 99.56, 99.56, 119.99 degrees
Last column: magnetic moment on the atom in μB.
Fractional positions:
La (0.5000, 0.5000, 0.5000)  0.03
La (0.8317, 0.1683, 0.5000)  0.03
Pu (0.6662, 0.3338, 0.0000)  5.16
La (0.1683, 0.8317, 0.5000)  0.03
As (0.7506, 0.7506, 0.2332)  -0.05
Pa (0.0000, 0.0000, 0.0000)  0.33
As (0.5953, 0.9226, 0.7674)  -0.05
As (0.2494, 0.2494, 0.7668)  -0.05
As (0.0774, 0.4047, 0.2326)  -0.05
As (0.4047, 0.0774, 0.2326)  -0.05
As (0.9226, 0.5953, 0.7674)  -0.05
Pu (0.3338, 0.6662, 0.0000)  5.16

***

Entry 7:
Density functional theory data (PBE-GGA) for crystalline La2PaAs4Rh3 at its relaxed geometry.

Computed properties:
- Calculated density: 8.8 g/cm³
- Density of states at the Fermi level: 5.50 states/eV/cell
- Formation energy: -0.924 eV per atom
- Calculated volume: 210.7 Å³ per cell
- Calculated total energy: -69.25 eV per formula unit

Cell lengths 4.3708, 4.3708, 11.0286 Å; angles 90.00, 90.00, 90.00 degrees
Fractional positions:
As (0.5000, 0.5000, 0.0000)
La (0.5000, 0.0000, 0.2170)
Rh (0.0000, 0.5000, 0.1058)
As (0.0000, 0.0000, 0.0000)
Pa (0.5000, 0.5000, 0.5000)
As (0.5000, 0.0000, 0.6673)
Rh (0.0000, 0.0000, 0.5000)
Rh (0.5000, 0.0000, 0.8942)
As (0.0000, 0.5000, 0.3327)
La (0.0000, 0.5000, 0.7830)

***

Entry 8:
Density functional theory data (PBE-GGA) for crystalline La2ScPaAs4 at its relaxed geometry.

Computed properties:
- Calculated density: 6.9 g/cm³
- Density of states at the Fermi level: 5.09 states/eV/cell
- Formation energy: -1.374 eV per atom
- Calculated volume: 206.6 Å³ per cell
- Calculated total energy: -55.27 eV per formula unit

Cell lengths 4.1866, 7.1608, 7.3045 Å; angles 109.40, 90.00, 90.00 degrees
Fractional positions:
As (0.0000, 0.7471, 0.2265)
As (0.0000, 0.2529, 0.7735)
As (0.5000, 0.7618, 0.7767)
La (0.0000, 0.5000, 0.5000)
As (0.5000, 0.2382, 0.2233)
Sc (0.0000, 0.0000, 0.0000)
Pa (0.5000, 0.5000, 0.0000)
La (0.5000, 0.0000, 0.5000)

***

Copy entry 8 word for word.
Density functional theory data (PBE-GGA) for crystalline La2ScPaAs4 at its relaxed geometry.

Computed properties:
- Calculated density: 6.9 g/cm³
- Density of states at the Fermi level: 5.09 states/eV/cell
- Formation energy: -1.374 eV per atom
- Calculated volume: 206.6 Å³ per cell
- Calculated total energy: -55.27 eV per formula unit

Cell lengths 4.1866, 7.1608, 7.3045 Å; angles 109.40, 90.00, 90.00 degrees
Fractional positions:
As (0.0000, 0.7471, 0.2265)
As (0.0000, 0.2529, 0.7735)
As (0.5000, 0.7618, 0.7767)
La (0.0000, 0.5000, 0.5000)
As (0.5000, 0.2382, 0.2233)
Sc (0.0000, 0.0000, 0.0000)
Pa (0.5000, 0.5000, 0.0000)
La (0.5000, 0.0000, 0.5000)